Entry 1:
Ac2CoCl: relaxed, GGA-PBE.

Geometry as POSCAR:
```
Ac2CoCl
1.0
-3.180 1.677 0.177
-0.878 -1.970 2.881
3.368 5.856 5.031
Co Ac Cl
1 2 1
Cartesian
-2.029 -0.147 1.529
0.717 1.248 1.072
2.650 4.609 3.959
-0.345 2.781 4.045
```

crystal system	tetragonal
symmetry	No. 123
electronic total energy	-4.90	eV/atom
energy above the lowest structure with this stoichiometry	251	meV per atom
formation energy (no corrections)	-603	meV/atom
total magnetization	0.14	μB/cell
mass density	8.34	g cm⁻³

=====

Entry 2:
Zr2CoAs: relaxed, GGA-PBE.

Geometry as POSCAR:
```
Zr2CoAs
1.0
3.256 0.000 0.000
0.000 3.256 0.000
0.000 0.000 6.845
Zr As Co
2 1 1
Cartesian
0.000 0.000 6.512
1.628 1.628 1.896
0.000 0.000 3.740
1.628 1.628 4.964
```

crystal system	tetragonal
symmetry	No. 99
electronic total energy	-7.47	eV/atom
total magnetization	0.86	μB/cell
mass density	7.24	g cm⁻³
formation energy from the elements	-0.256	eV/atom

=====

Entry 3:
H2OsF8: relaxed, GGA-PBE.

Geometry as POSCAR:
```
H2OsF8
1.0
-0.468 -5.524 -0.249
5.393 2.327 0.070
0.447 -0.291 5.607
F H Os
8 2 1
Cartesian
0.806 -4.337 0.406
4.320 -2.050 4.892
3.432 -0.391 2.229
1.297 -0.287 3.920
4.565 0.850 5.023
4.074 -3.201 1.508
1.939 -3.096 3.199
1.052 -1.437 0.536
2.771 -0.366 2.908
2.601 -3.121 2.521
0.000 0.000 0.000
```

crystal system	monoclinic
symmetry	No. 12
electronic total energy	-4.61	eV/atom
energy above the lowest structure with this stoichiometry	0	meV per atom
total magnetization	2.00	μB/cell
mass density	3.54	g cm⁻³